# 1
Compound: MgCrRu2
Source: Alexandria via LeMat-Bulk
Functional: GGA-PBE
Structure: optimized geometry

CIF file:
```
data_MgCrRu2
_chemical_formula_sum 'Mg1 Cr1 Ru2'
_cell_length_a 2.977
_cell_length_b 2.977
_cell_length_c 6.343
_cell_angle_alpha 90.00
_cell_angle_beta 90.00
_cell_angle_gamma 90.00
_symmetry_space_group_name_H-M 'P 1'
_symmetry_Int_Tables_number 1
_symmetry_space_group_name_Hall 'P 1'
loop_
_atom_site_label
_atom_site_type_symbol
_atom_site_fract_x
_atom_site_fract_y
_atom_site_fract_z
Cr1 Cr 0.500 0.500 0.250
Ru1 Ru 0.000 0.000 0.475
Ru2 Ru 0.000 0.000 0.025
Mg1 Mg 0.500 0.500 0.750
```

# 2
Compound: MgCr2Ru
Source: Alexandria via LeMat-Bulk
Functional: GGA-PBE
Structure: optimized geometry

CIF file:
```
data_MgCr2Ru
_chemical_formula_sum 'Mg1 Cr2 Ru1'
_cell_length_a 4.169
_cell_length_b 3.602
_cell_length_c 3.602
_cell_angle_alpha 90.00
_cell_angle_beta 90.00
_cell_angle_gamma 90.00
_symmetry_space_group_name_H-M 'P 1'
_symmetry_Int_Tables_number 1
_symmetry_space_group_name_Hall 'P 1'
loop_
_atom_site_label
_atom_site_type_symbol
_atom_site_fract_x
_atom_site_fract_y
_atom_site_fract_z
Mg1 Mg 0.500 0.500 0.000
Cr1 Cr 0.000 0.500 0.500
Cr2 Cr 0.000 0.000 0.000
Ru1 Ru 0.500 0.000 0.500
```

# 3
# GGA-PBE MgCr2Ru2, optimized geometry
data_MgCr2Ru2
_chemical_formula_sum 'Mg2 Cr4 Ru4'
_cell_length_a 7.244
_cell_length_b 7.244
_cell_length_c 2.737
_cell_angle_alpha 90.00
_cell_angle_beta 90.00
_cell_angle_gamma 90.00
_symmetry_space_group_name_H-M 'P 1'
_symmetry_Int_Tables_number 1
_symmetry_space_group_name_Hall 'P 1'
loop_
_atom_site_label
_atom_site_type_symbol
_atom_site_fract_x
_atom_site_fract_y
_atom_site_fract_z
Mg1 Mg 0.500 0.500 0.000
Ru1 Ru 0.327 0.173 0.500
Cr1 Cr 0.613 0.113 0.000
Cr2 Cr 0.113 0.387 0.000
Cr3 Cr 0.387 0.887 0.000
Ru2 Ru 0.827 0.327 0.500
Ru3 Ru 0.173 0.673 0.500
Cr4 Cr 0.887 0.613 0.000
Mg2 Mg 0.000 0.000 0.000
Ru4 Ru 0.673 0.827 0.500
# energy above the most stable polymorph in this dataset: 0.000 eV per atom

# 4
Compound: MgCrRu2
Source: Alexandria via LeMat-Bulk
Functional: GGA-PBE
Structure: optimized geometry

CIF file:
```
data_MgCrRu2
_chemical_formula_sum 'Mg1 Cr1 Ru2'
_cell_length_a 2.768
_cell_length_b 3.926
_cell_length_c 5.329
_cell_angle_alpha 90.00
_cell_angle_beta 90.00
_cell_angle_gamma 90.00
_symmetry_space_group_name_H-M 'P 1'
_symmetry_Int_Tables_number 1
_symmetry_space_group_name_Hall 'P 1'
loop_
_atom_site_label
_atom_site_type_symbol
_atom_site_fract_x
_atom_site_fract_y
_atom_site_fract_z
Ru1 Ru 0.500 0.500 0.258
Cr1 Cr 0.000 0.000 0.479
Mg1 Mg 0.500 0.500 0.756
Ru2 Ru 0.000 0.000 0.007
```

| no. | Fermi-level density of states (states/eV/f.u.) | uncorrected energy (eV per cell) | ΔE_f (eV per atom) |
| --- | --- | --- | --- |
| 1 | 3.291 | -29.76 | 0.00 |
| 2 | 5.881 | -28.31 | 0.45 |
| 3 | 6.355 | -77.35 | 0.14 |
| 4 | 4.836 | -28.80 | 0.24 |